1.
Material: TmAlPd
Method: DFT, PBE
State: relaxed

Geometry as POSCAR:
```
TmAlPd
1.0
0.000 3.210 3.210
3.210 0.000 3.210
3.210 3.210 0.000
Tm Al Pd
1 1 1
Cartesian
0.000 0.000 0.000
3.210 3.210 3.210
4.815 4.815 4.815
```

Output
**Final energy**: -5.102 eV/atom
**Total magnetic moment**: 0.06 μB per formula unit
**Calculated volume**: 22.05 Å³/atom

2.
Material: TbCoSi2Ir
Method: DFT, PBE
State: relaxed

Geometry as POSCAR:
```
TbCoSi2Ir
1.0
-1.988 1.988 4.976
1.988 -1.988 4.976
1.988 1.988 -4.976
Tb Co Si Ir
1 1 2 1
Cartesian
0.000 0.000 0.000
1.988 0.000 2.488
0.000 0.000 3.752
0.000 0.000 6.201
0.000 1.988 2.488
```

Output
**Final energy**: -7.240 eV/atom
**Total magnetic moment**: 0.00 μB per formula unit
**Calculated volume**: 15.74 Å³/atom

3.
Material: KLiTcSe3
Method: DFT, PBE
State: relaxed

Geometry as POSCAR:
```
KLiTcSe3
1.0
14.430 0.000 0.000
0.000 3.593 0.000
0.000 0.000 10.325
K Li Tc Se
4 4 4 12
Cartesian
2.001 0.898 0.068
5.214 2.694 5.231
9.216 0.898 5.094
12.429 2.694 10.257
2.745 2.694 2.946
4.470 0.898 8.109
9.961 2.694 2.216
11.685 0.898 7.379
0.481 2.694 6.235
6.734 0.898 1.073
7.696 2.694 9.252
13.949 0.898 4.090
0.307 2.694 2.358
1.759 0.898 5.033
2.738 2.694 7.721
4.477 0.898 2.558
5.456 2.694 10.196
6.908 0.898 7.521
7.522 2.694 2.804
8.974 0.898 0.129
9.953 2.694 7.767
11.692 0.898 2.604
12.671 2.694 5.292
14.123 0.898 7.967
```

Output
**Final energy**: -4.646 eV/atom
**Total magnetic moment**: 0.63 μB per formula unit
**Calculated volume**: 22.30 Å³/atom

4.
Material: KGdPd
Method: DFT, PBE
State: relaxed

Geometry as POSCAR:
```
KGdPd
1.0
0.000 3.579 3.579
3.579 0.000 3.579
3.579 3.579 0.000
K Gd Pd
1 1 1
Cartesian
0.000 0.000 0.000
3.579 3.579 3.579
5.368 5.368 5.368
```

Output
**Final energy**: -3.592 eV/atom
**Total magnetic moment**: 0.00 μB per formula unit
**Calculated volume**: 30.56 Å³/atom

5.
Material: CsErSnSe3
Method: DFT, PBE
State: relaxed

Geometry as POSCAR:
```
CsErSnSe3
1.0
2.054 -8.767 0.000
2.054 8.767 0.000
0.000 0.000 11.959
Cs Er Sn Se
2 2 2 6
Cartesian
2.054 5.266 8.970
2.054 -5.266 2.990
2.054 0.000 0.000
2.054 0.000 5.980
2.054 6.941 2.990
2.054 -6.941 8.970
2.054 6.837 0.083
2.054 6.837 5.897
2.054 0.034 2.990
2.054 -0.034 8.970
2.054 -6.837 6.063
2.054 -6.837 11.876
```

Output
**Final energy**: -4.514 eV/atom
**Total magnetic moment**: 0.00 μB per formula unit
**Calculated volume**: 35.89 Å³/atom

6.
Material: RbHfAgTeSeS
Method: DFT, PBE
State: relaxed

Geometry as POSCAR:
```
RbHfAgTeSeS
1.0
8.801 0.000 0.000
0.000 4.037 0.000
-3.920 0.000 9.455
Rb Hf Ag Te Se S
2 2 2 2 2 2
Cartesian
1.151 1.009 1.970
3.730 3.028 7.485
-1.039 3.028 6.157
5.920 1.009 3.298
0.210 1.009 8.446
4.671 3.028 1.009
1.082 1.009 5.840
3.799 3.028 3.615
-1.575 3.028 8.756
6.456 1.009 0.699
-1.266 3.028 3.540
6.147 1.009 5.915
```

Output
**Final energy**: -5.116 eV/atom
**Total magnetic moment**: 0.00 μB per formula unit
**Calculated volume**: 28.00 Å³/atom

> Which value of total magnetic moment does entry 6 give?

0.00 μB per formula unit

> Look up the total magnetic moment of the sixth one.

0.00 μB per formula unit

Copy entry 1 word for word.
Material: TmAlPd
Method: DFT, PBE
State: relaxed

Geometry as POSCAR:
```
TmAlPd
1.0
0.000 3.210 3.210
3.210 0.000 3.210
3.210 3.210 0.000
Tm Al Pd
1 1 1
Cartesian
0.000 0.000 0.000
3.210 3.210 3.210
4.815 4.815 4.815
```

Output
**Final energy**: -5.102 eV/atom
**Total magnetic moment**: 0.06 μB per formula unit
**Calculated volume**: 22.05 Å³/atom